# 1
! Rb3SrBi2S6, optimized geometry, DFT PBE-GGA; values from VASP
&SYSTEM
  ibrav = 0, nat = 12, ntyp = 4
/
ATOMIC_SPECIES
Rb 85.47 Rb.upf
Sr 87.62 Sr.upf
Bi 208.98 Bi.upf
S 32.06 S.upf
CELL_PARAMETERS angstrom
3.6670 -6.3543 0.0000
3.6670 6.3543 0.0000
-2.4560 0.0000 7.7433
ATOMIC_POSITIONS crystal
Rb 0.0000 0.0000 0.0000
Rb 0.3367 0.6633 0.0000
Rb 0.6633 0.3367 0.0000
Sr 0.5000 0.5000 0.5000
Bi 0.1670 0.8330 0.5000
Bi 0.8330 0.1670 0.5000
S 0.0821 0.4328 0.2993
S 0.2161 0.2161 0.6994
S 0.4328 0.0821 0.2993
S 0.5672 0.9179 0.7007
S 0.7839 0.7839 0.3006
S 0.9179 0.5672 0.7007
! Formation energy from raw total energies, eV per atom: -0.97



# 2
! K2CaPS, optimized geometry, DFT PBE-GGA; values from VASP
&SYSTEM
  ibrav = 0, nat = 5, ntyp = 4
/
ATOMIC_SPECIES
K 39.10 K.upf
Ca 40.08 Ca.upf
P 30.97 P.upf
S 32.06 S.upf
CELL_PARAMETERS angstrom
5.8142 0.0000 0.0000
0.0000 5.8142 0.0000
0.0000 0.0000 5.2841
ATOMIC_POSITIONS crystal
K 0.0000 0.5000 0.0000
K 0.5000 0.0000 0.0000
Ca 0.0000 0.0000 0.5000
P 0.5000 0.5000 0.5000
S 0.0000 0.0000 0.0000
! Formation energy from raw total energies, eV per atom: -0.53



# 3
! HfTaZnW, optimized geometry, DFT PBE-GGA; values from VASP
&SYSTEM
  ibrav = 0, nat = 4, ntyp = 4
/
ATOMIC_SPECIES
Hf 178.49 Hf.upf
Ta 180.95 Ta.upf
Zn 65.41 Zn.upf
W 183.84 W.upf
CELL_PARAMETERS angstrom
0.0000 3.2765 3.2765
3.2765 0.0000 3.2765
3.2765 3.2765 0.0000
ATOMIC_POSITIONS crystal
Hf 0.0000 0.0000 0.0000
Ta 0.5000 0.5000 0.5000
Zn 0.2500 0.2500 0.2500
W 0.7500 0.7500 0.7500
! Formation energy from the elements, eV per atom: 0.020



# 4
! SeBr3, optimized geometry, DFT PBE-GGA; values from VASP
&SYSTEM
  ibrav = 0, nat = 4, ntyp = 2
/
ATOMIC_SPECIES
Se 78.96 Se.upf
Br 79.90 Br.upf
CELL_PARAMETERS angstrom
2.1140 1.2205 7.2735
-2.1140 1.2205 7.2735
0.0000 -2.4410 7.2735
ATOMIC_POSITIONS crystal
Se 0.0000 0.0000 0.0000
Br 0.2674 0.2674 0.2674
Br 0.5000 0.5000 0.5000
Br 0.7326 0.7326 0.7326
! Formation energy from raw total energies, eV per atom: 0.33



# 5
! CuSi3, optimized geometry, DFT PBE-GGA; values from VASP
&SYSTEM
  ibrav = 0, nat = 4, ntyp = 2
/
ATOMIC_SPECIES
Cu 63.55 Cu.upf
Si 28.09 Si.upf
CELL_PARAMETERS angstrom
4.3880 2.5334 0.8477
-4.3880 2.5334 0.8477
0.0000 -5.0668 0.8477
ATOMIC_POSITIONS crystal
Cu 0.0000 0.0000 0.0000
Si 0.0000 0.5000 0.5000
Si 0.5000 0.0000 0.5000
Si 0.5000 0.5000 0.0000
! Formation energy from raw total energies, eV per atom: 0.43



| no. | magnetic moment (μB/f.u.) |
| --- | --- |
| 1 | 0.00 |
| 2 | 1.00 |
| 3 | 0.00 |
| 4 | 0.00 |
| 5 | 0.00 |